CaGaHg: relaxed, PBE-GGA.

The structure in POSCAR format:
```
CaGaHg
1.0
4.699 0.000 0.000
2.349 5.538 0.058
2.349 0.469 5.493
Ca Hg Ga
2 2 2
Direct
0.537 0.208 0.719 Ca
0.463 0.792 0.281 Ca
0.824 0.223 0.129 Hg
0.176 0.777 0.871 Hg
0.154 0.389 0.304 Ga
0.846 0.611 0.696 Ga
```

Computed properties:
- Volume: 142.8 Å³ per cell
- Energy of formation from the pure elements: -486 meV per atom
- Calculated total energy: -2.263 eV per atom

=====

Tl2W2Br: relaxed, PBE-GGA.

The structure in POSCAR format:
```
Tl2W2Br
1.0
-6.870 1.830 4.336
-4.335 -5.447 -4.570
0.706 -2.322 2.098
Tl Br W
4 2 4
Direct
0.189 0.689 0.500 Tl
0.689 0.811 0.500 Tl
0.811 0.311 0.500 Tl
0.311 0.189 0.500 Tl
0.000 0.000 0.000 Br
0.500 0.500 0.000 Br
0.398 0.898 0.000 W
0.898 0.602 0.000 W
0.602 0.102 0.000 W
0.102 0.398 0.000 W
```

Computed properties:
- Volume: 222.5 Å³ per cell
- Uncorrected formation energy: 971 meV per atom
- Calculated total energy: -5.491 eV per atom

=====

KLiYF5: relaxed, PBE-GGA.

The structure in POSCAR format:
```
KLiYF5
1.0
-1.071 0.813 6.052
-2.149 -5.615 -1.511
8.222 -0.915 -0.395
K Li Y F
2 2 2 10
Direct
0.341 0.659 0.250 K
0.659 0.341 0.750 K
0.685 0.315 0.250 Li
0.315 0.685 0.750 Li
0.000 0.000 0.500 Y
0.000 0.000 0.000 Y
0.077 0.923 0.250 F
0.923 0.077 0.750 F
0.901 0.296 0.116 F
0.099 0.704 0.884 F
0.704 0.099 0.384 F
0.296 0.901 0.616 F
0.755 0.628 0.406 F
0.245 0.372 0.594 F
0.372 0.245 0.094 F
0.628 0.755 0.906 F
```

Computed properties:
- Volume: 279.6 Å³ per cell
- Uncorrected formation energy: -3495 meV per atom
- Calculated total energy: -5.849 eV per atom

=====

Zr2CuSbTe: relaxed, PBE-GGA.

The structure in POSCAR format:
```
Zr2CuSbTe
1.0
5.231 0.000 0.000
0.000 5.231 0.000
0.000 0.000 4.465
Sb Te Cu Zr
1 1 1 2
Direct
0.000 0.000 0.500 Sb
0.500 0.500 0.500 Te
0.000 0.000 0.000 Cu
0.000 0.500 0.000 Zr
0.500 0.000 0.000 Zr
```

Computed properties:
- Volume: 122.2 Å³ per cell
- Uncorrected formation energy: 211 meV per atom
- Calculated total energy: -5.480 eV per atom

=====

ZrHRuPt2: relaxed, PBE-GGA.

The structure in POSCAR format:
```
ZrHRuPt2
1.0
4.031 0.000 0.000
0.000 4.031 0.000
0.000 0.000 4.139
Ru Zr Pt H
1 1 2 1
Direct
0.000 0.000 0.500 Ru
0.500 0.500 0.500 Zr
0.000 0.500 0.000 Pt
0.500 0.000 0.000 Pt
0.000 0.000 0.000 H
```

Computed properties:
- Volume: 67.3 Å³ per cell
- Calculated total energy: -7.210 eV per atom

=====

MoAuBr2: relaxed, PBE-GGA.

The structure in POSCAR format:
```
MoAuBr2
1.0
4.977 0.000 0.000
2.488 4.310 0.000
2.488 1.437 4.063
Mo Au Br
1 1 2
Direct
0.750 0.750 0.750 Mo
0.500 0.500 0.500 Au
0.000 0.000 0.000 Br
0.250 0.250 0.250 Br
```

Computed properties:
- Volume: 87.1 Å³ per cell
- Uncorrected formation energy: 855 meV per atom
- Calculated total energy: -3.509 eV per atom

=====

Which of these has the highest volume? KLiYF5

=====

The highest calculated total energy belongs to which entry? CaGaHg

=====

Which of these has the highest calculated total energy? CaGaHg

=====

Number 1 is which compound? CaGaHg